Below is an optimized crystal structure of CuSiGeSe2, with properties calculated at the PBE level.

POSCAR file:
```
CuSiGeSe2
1.0
-0.029 4.086 -3.035
-4.058 1.314 1.808
2.455 2.670 3.571
Se Si Ge Cu
2 1 1 1
direct
0.500 0.000 0.000
0.000 0.000 0.500
0.000 0.500 0.000
0.000 0.000 0.000
0.500 0.500 0.500
```

Computed properties:
symmetry: P4/mmm (123)
E_form (uncorrected): 0.85 eV per atom
final energy: -3.37 eV/atom
crystal system: tetragonal

---

Below is an optimized crystal structure of Sm3CuGeSe7, with properties calculated at the PBE level.

POSCAR file:
```
Sm3CuGeSe7
1.0
10.537 0.000 0.000
-5.268 9.125 0.000
0.000 0.000 6.132
Ge Se Sm Cu
2 14 6 2
direct
0.667 0.333 0.837
0.333 0.667 0.337
0.579 0.483 0.000
0.421 0.517 0.500
0.162 0.904 0.229
0.838 0.096 0.729
0.259 0.162 0.729
0.096 0.579 0.500
0.904 0.741 0.729
0.333 0.667 0.953
0.517 0.096 0.000
0.667 0.333 0.453
0.483 0.904 0.500
0.741 0.838 0.229
0.096 0.259 0.229
0.904 0.421 0.000
0.224 0.869 0.753
0.869 0.645 0.253
0.355 0.224 0.253
0.131 0.355 0.753
0.645 0.776 0.753
0.776 0.131 0.253
0.000 0.000 0.717
0.000 0.000 0.217
```

Computed properties:
symmetry: P6_3 (173)
E_form (uncorrected): -1.30 eV per atom
final energy: -5.24 eV/atom
crystal system: hexagonal

---

Values for magnetic moment, μB per cell, ordered as above
0.00; 0.00